{
  "formula": "KCaSbI2",
  "functional": "PBE",
  "state": "relaxed",
  "lattice_angstrom": [[6.213, 0.000, 0.000], [0.000, 6.213, 0.000], [0.000, 0.000, 6.263]],
  "species": ["K", "Ca", "Sb", "I", "I"],
  "fractional_positions": [[0.000, 0.000, 0.000], [0.500, 0.500, 0.500], [0.500, 0.500, 0.000], [0.000, 0.500, 0.500], [0.500, 0.000, 0.500]],
  "formation_energy_uncorrected_ev_per_atom": -0.801,
  "polymorph_energy_ev_per_atom": 0.0000,
  "magnetic_moment_mub_per_fu": 2.0
}